1.
This record from Alexandria describes MnCoO4 after structural relaxation. The functional is PBE with a Hubbard U.

Symmetry = P2/m
E = -6.3902 eV/atom
Crystal system = monoclinic

Lattice parameters (Å, degrees): 4.980 2.896 5.258 90.00 108.65 90.00
Atoms (fractional coordinates):
Mn1 0.000 0.000 0.000
Co1 0.500 0.500 0.000
O1 0.236 0.500 0.192
O2 0.275 0.000 0.810
O3 0.725 0.000 0.190
O4 0.764 0.500 0.808


2.
This record from Alexandria describes MnCo2O4 after structural relaxation. The functional is PBE with a Hubbard U.

Symmetry = C2/m
Polymorph energy (0 for the lowest one) = 88.9 meV/atom
E = -6.4840 eV/atom
Crystal system = monoclinic

Lattice parameters (Å, degrees): 5.358 5.358 5.172 113.93 113.93 32.78
Atoms (fractional coordinates):
Mn1 0.000 0.000 0.000
Co1 0.306 0.306 0.326
Co2 0.694 0.694 0.674
O1 0.123 0.123 0.404
O2 0.378 0.378 0.026
O3 0.622 0.622 0.974
O4 0.877 0.877 0.596


3.
This record from Alexandria describes MnCoO4 after structural relaxation. The functional is PBE with a Hubbard U.

Symmetry = P2_1
E = -6.3901 eV/atom
Crystal system = monoclinic

Lattice parameters (Å, degrees): 2.895 10.106 4.980 90.00 90.05 90.00
Atoms (fractional coordinates):
Mn1 0.124 0.000 0.374
Mn2 0.876 0.500 0.626
Co1 0.375 0.500 0.126
Co2 0.625 0.000 0.874
O1 0.125 0.094 0.713
O2 0.125 0.906 0.035
O3 0.375 0.405 0.454
O4 0.376 0.594 0.798
O5 0.624 0.094 0.202
O6 0.625 0.905 0.546
O7 0.875 0.406 0.965
O8 0.875 0.594 0.287


4.
This record from Alexandria describes MnCoO4 after structural relaxation. The functional is PBE with a Hubbard U.

Symmetry = Cmmm
E = -6.3500 eV/atom
Crystal system = orthorhombic

Lattice parameters (Å, degrees): 4.389 4.389 2.946 90.00 90.00 90.49
Atoms (fractional coordinates):
Mn1 0.000 0.000 0.000
Co1 0.500 0.500 0.500
O1 0.199 0.199 0.500
O2 0.309 0.691 0.000
O3 0.691 0.309 0.000
O4 0.801 0.801 0.500


5.
This record from Alexandria describes Mn2CoO after structural relaxation. The functional is PBE with a Hubbard U.

Symmetry = I-42d
E = -6.1737 eV/atom
Crystal system = tetragonal

Lattice parameters (Å, degrees): 5.501 5.501 5.501 112.83 112.83 102.94
Atoms (fractional coordinates):
Mn1 0.048 0.125 0.423
Mn2 0.375 0.952 0.077
Mn3 0.702 0.625 0.577
Mn4 0.875 0.298 0.923
Co1 0.250 0.750 0.500
Co2 0.500 0.500 0.000
O1 0.000 0.000 0.000
O2 0.750 0.250 0.500


6.
This record from Alexandria describes MnCo3O8 after structural relaxation. The functional is PBE with a Hubbard U.

Symmetry = P6_3mc
Polymorph energy (0 for the lowest one) = 19.0 meV/atom
E = -6.0173 eV/atom
Crystal system = hexagonal

Lattice parameters (Å, degrees): 5.631 5.631 8.764 90.00 90.00 120.00
Atoms (fractional coordinates):
Mn1 0.333 0.667 0.000
Mn2 0.667 0.333 0.500
Co1 0.167 0.335 0.726
Co2 0.167 0.833 0.726
Co3 0.335 0.167 0.226
Co4 0.665 0.833 0.726
Co5 0.833 0.167 0.226
Co6 0.833 0.665 0.226
O1 0.000 0.000 0.335
O2 0.000 0.000 0.835
O3 0.038 0.519 0.853
O4 0.163 0.326 0.120
O5 0.163 0.837 0.120
O6 0.326 0.163 0.620
O7 0.333 0.667 0.616
O8 0.481 0.519 0.853
O9 0.481 0.962 0.853
O10 0.519 0.038 0.353
O11 0.519 0.481 0.353
O12 0.667 0.333 0.116
O13 0.674 0.837 0.120
O14 0.837 0.163 0.620
O15 0.837 0.674 0.620
O16 0.962 0.481 0.353


7.
This record from Alexandria describes MnCo2OsO8 after structural relaxation. The functional is PBE with a Hubbard U.

Symmetry = I-4m2
E = -6.5311 eV/atom
Crystal system = tetragonal

Lattice parameters (Å, degrees): 5.597 5.597 5.597 110.20 110.20 108.02
Atoms (fractional coordinates):
Mn1 0.000 0.000 0.000
Co1 0.250 0.750 0.500
Co2 0.500 0.500 0.000
Os1 0.750 0.250 0.500
O1 0.039 0.365 0.326
O2 0.039 0.713 0.674
O3 0.092 0.306 0.786
O4 0.287 0.961 0.326
O5 0.521 0.306 0.214
O6 0.635 0.961 0.674
O7 0.694 0.479 0.786
O8 0.694 0.908 0.214


8.
This record from Alexandria describes Mn2CoOsO6 after structural relaxation. The functional is PBE with a Hubbard U.

Symmetry = P2_1/c
E = -7.2823 eV/atom
Crystal system = monoclinic

Lattice parameters (Å, degrees): 5.175 5.320 9.082 90.00 124.51 90.00
Atoms (fractional coordinates):
Mn1 0.236 0.059 0.250
Mn2 0.236 0.441 0.750
Mn3 0.764 0.559 0.250
Mn4 0.764 0.941 0.750
Co1 0.000 0.000 0.500
Co2 0.000 0.500 0.000
Os1 0.500 0.000 0.000
Os2 0.500 0.500 0.500
O1 0.123 0.192 0.939
O2 0.123 0.308 0.439
O3 0.247 0.690 0.936
O4 0.247 0.810 0.436
O5 0.369 0.050 0.748
O6 0.369 0.450 0.248
O7 0.631 0.550 0.752
O8 0.631 0.950 0.252
O9 0.753 0.190 0.564
O10 0.753 0.310 0.064
O11 0.877 0.692 0.561
O12 0.877 0.808 0.061